Entry from Alexandria: Mg2Zn17 after structural relaxation (PBE).

Summary:
* energy: -1.31 eV per atom
* ΔE_f: -0.0068 eV per atom
* density: 6.32 Mg/m³

Cell: 6.7811 6.7811 6.7811 Å, 82.80 82.80 82.80°
With the nearest neighbours (Å) after each atom.
Atoms (fractional coordinates):
Mg (0.1515, 0.1515, 0.1515)  16 Zn 3.11-3.46
Mg (0.8485, 0.8485, 0.8485)  16 Zn 3.11-3.46
Zn (0.0000, 0.5000, 0.5000)  10 Zn 2.60-2.71
Zn (0.1500, 0.1500, 0.6615)  9 Zn 2.55-2.82
Zn (0.1500, 0.6615, 0.1500)  9 Zn 2.55-2.82
Zn (0.1913, 0.5000, 0.8087)  8 Zn 2.60-2.77
Zn (0.1913, 0.8087, 0.5000)  8 Zn 2.60-2.77
Zn (0.3385, 0.8500, 0.8500)  9 Zn 2.55-2.82
Zn (0.3945, 0.3945, 0.3945)  7 Zn 2.71-2.82
Zn (0.5000, 0.0000, 0.5000)  10 Zn 2.60-2.71
Zn (0.5000, 0.1913, 0.8087)  8 Zn 2.60-2.77
Zn (0.5000, 0.5000, 0.0000)  10 Zn 2.60-2.71
Zn (0.5000, 0.8087, 0.1913)  8 Zn 2.60-2.77
Zn (0.6055, 0.6055, 0.6055)  7 Zn 2.71-2.82
Zn (0.6615, 0.1500, 0.1500)  9 Zn 2.55-2.82
Zn (0.8087, 0.1913, 0.5000)  8 Zn 2.60-2.77
Zn (0.8087, 0.5000, 0.1913)  8 Zn 2.60-2.77
Zn (0.8500, 0.3385, 0.8500)  9 Zn 2.55-2.82
Zn (0.8500, 0.8500, 0.3385)  9 Zn 2.55-2.82

---

Entry from Alexandria: MgZn after structural relaxation (PBE).

Summary:
* energy: -1.55 eV per atom
* ΔE_f: -0.1127 eV per atom
* density: 4.09 Mg/m³

Cell: 3.1552 4.3794 5.4570 Å, 90.00 104.84 90.00°
With the nearest neighbours (Å) after each atom.
Atoms (fractional coordinates):
Mg (0.1536, 0.2500, 0.3282)  7 Zn 2.82-2.94, 2 Mg 3.16
Mg (0.8464, 0.7500, 0.6718)  7 Zn 2.82-2.94, 2 Mg 3.16
Zn (0.4335, 0.2500, 0.8627)  2 Zn 2.63, 6 Mg 2.82-2.90
Zn (0.5665, 0.7500, 0.1373)  2 Zn 2.63, 6 Mg 2.82-2.90

---

Entry from Alexandria: MgZn after structural relaxation (PBE).

Summary:
* energy: -1.47 eV per atom
* ΔE_f: -0.0401 eV per atom
* density: 4.12 Mg/m³

Cell: 4.6829 5.1213 5.1213 Å, 117.97 90.00 90.00°
With the nearest neighbours (Å) after each atom.
Atoms (fractional coordinates):
Mg (0.0000, 0.0000, 0.0000)  8 Zn 2.85-3.11, 4 Mg 3.04
Mg (0.5000, 0.6046, 0.9577)  6 Zn 2.84-2.93, 5 Mg 2.94-3.10
Mg (0.5000, 0.9577, 0.6046)  6 Zn 2.84-2.93, 5 Mg 2.94-3.10
Zn (0.0000, 0.3137, 0.6304)  5 Zn 2.78-3.09, 6 Mg 2.85-3.00
Zn (0.0000, 0.6304, 0.3137)  5 Zn 2.78-3.09, 6 Mg 2.85-3.00
Zn (0.5000, 0.3129, 0.3129)  6 Mg 2.84-2.92, 4 Zn 2.85

---

Entry from Alexandria: Mg5Zn3 after structural relaxation (PBE).

Summary:
* energy: -1.54 eV per atom
* ΔE_f: -0.0703 eV per atom
* density: 3.35 Mg/m³
* distance to the lowest polymorph of the same formula: 0.000 eV per atom

Cell: 8.0475 8.0475 5.6201 Å, 90.00 90.00 120.00°
With the nearest neighbours (Å) after each atom.
Atoms (fractional coordinates):
Mg (0.0000, 0.2489, 0.2500)  5 Zn 2.80-3.05
Mg (0.0000, 0.7511, 0.7500)  5 Zn 2.80-3.05
Mg (0.2489, 0.0000, 0.2500)  5 Zn 2.80-3.05
Mg (0.2489, 0.2489, 0.7500)  5 Zn 2.80-3.05
Mg (0.3333, 0.6667, 0.0000)  2 Mg 2.81, 6 Zn 2.84
Mg (0.3333, 0.6667, 0.5000)  2 Mg 2.81, 6 Zn 2.84
Mg (0.6667, 0.3333, 0.0000)  2 Mg 2.81, 6 Zn 2.84
Mg (0.6667, 0.3333, 0.5000)  2 Mg 2.81, 6 Zn 2.84
Mg (0.7511, 0.0000, 0.7500)  5 Zn 2.80-3.05
Mg (0.7511, 0.7511, 0.2500)  5 Zn 2.80-3.05
Zn (0.0000, 0.3968, 0.7500)  9 Mg 2.80-3.05
Zn (0.0000, 0.6032, 0.2500)  9 Mg 2.80-3.05
Zn (0.3968, 0.0000, 0.7500)  9 Mg 2.80-3.05
Zn (0.3968, 0.3968, 0.2500)  9 Mg 2.80-3.05
Zn (0.6032, 0.0000, 0.2500)  9 Mg 2.80-3.05
Zn (0.6032, 0.6032, 0.7500)  9 Mg 2.80-3.05

---

Entry from Alexandria: MgZn after structural relaxation (PBE).

Summary:
* energy: -1.38 eV per atom
* ΔE_f: 0.0509 eV per atom
* density: 3.70 Mg/m³

Cell: 6.8441 6.4771 5.4930 Å, 69.19 62.20 48.61°
With the nearest neighbours (Å) after each atom.
Atoms (fractional coordinates):
Mg (0.0639, 0.6861, 0.0639)  6 Zn 2.81-2.88
Mg (0.3139, 0.9361, 0.3139)  6 Zn 2.81-2.88
Mg (0.6861, 0.0639, 0.6861)  6 Zn 2.81-2.88
Mg (0.9361, 0.3139, 0.9361)  6 Zn 2.81-2.88
Zn (0.2011, 0.5489, 0.5489)  1 Zn 2.47
Zn (0.4511, 0.7989, 0.7989)  1 Zn 2.47
Zn (0.5489, 0.2011, 0.2011)  1 Zn 2.47
Zn (0.7989, 0.4511, 0.4511)  1 Zn 2.47

---

Entry from Alexandria: MgZn2 after structural relaxation (PBE).

Summary:
* energy: -1.14 eV per atom
* ΔE_f: 0.2435 eV per atom
* density: 4.10 Mg/m³

Cell: 4.4629 4.4629 4.4629 Å, 60.00 60.00 60.00°
With the nearest neighbours (Å) after each atom.
Atoms (fractional coordinates):
Mg (0.0000, 0.0000, 0.0000)  8 Zn 2.73
Zn (0.2500, 0.2500, 0.2500)  4 Mg 2.73
Zn (0.7500, 0.7500, 0.7500)  4 Mg 2.73